# KCr4Ir

A geometry-optimized KCr4Ir structure (PBE-GGA, Alexandria via LeMat-Bulk).

Results
Electronic total energy ... -42.40 eV for the cell shown
Space-group type ... No. 216
Formation energy ... 23.2 kcal/mol of atoms

Unit cell a=4.9682 b=4.9682 c=4.9682 alpha=60.00 beta=60.00 gamma=60.00
Atoms (fractional coordinates):
K  0.0000  0.0000  0.0000
Cr  0.3749  0.3749  0.3749
Cr  0.3749  0.3749  0.8753
Cr  0.8753  0.3749  0.3749
Cr  0.3749  0.8753  0.3749
Ir  0.7500  0.7500  0.7500

***

# MgIn2

A geometry-optimized MgIn2 structure (PBE-GGA, Alexandria via LeMat-Bulk).

Results
Electronic total energy ... -14.35 eV for the cell shown
Space-group type ... No. 12
Formation energy ... -0.8 kcal/mol of atoms

Unit cell a=5.9888 b=5.9888 c=11.4060 alpha=136.12 beta=136.12 gamma=33.93
Atoms (fractional coordinates):
Mg  0.7839  0.7839  0.0645
Mg  0.6606  0.6606  0.3244
In  0.3241  0.3241  0.6516
In  0.1203  0.1203  0.7373
In  0.0071  0.0071  0.0026
In  0.4373  0.4373  0.3863

***

# AlAg6

A geometry-optimized AlAg6 structure (PBE-GGA, Alexandria via LeMat-Bulk).

Results
Electronic total energy ... -20.88 eV for the cell shown
Offset from the most stable computed form ... 4 kJ/mol of formula units
Space-group type ... No. 139
Formation energy ... -0.1 kcal/mol of atoms

Unit cell a=14.2371 b=2.9515 c=2.9515 alpha=90.00 beta=95.95 gamma=95.95
Atoms (fractional coordinates):
Ag  0.2835  0.1418  0.1418
Ag  0.7273  0.8636  0.8636
Ag  0.5772  0.2886  0.2886
Ag  0.1371  0.5686  0.5686
Ag  0.4308  0.7154  0.7154
Ag  0.9870  0.9935  0.9935
Al  0.8571  0.4286  0.4286

***

# KRbZnBr4

A geometry-optimized KRbZnBr4 structure (PBE-GGA, Alexandria via LeMat-Bulk).

Results
Electronic total energy ... -39.92 eV for the cell shown
Space-group type ... No. 11
Formation energy from raw total energies ... -9.93 eV/f.u.

Unit cell a=7.5420 b=7.6082 c=9.5181 alpha=90.00 beta=108.34 gamma=90.00
Atoms (fractional coordinates):
Br  0.9955  0.9996  0.7506
Br  0.0045  0.0004  0.2494
Br  0.5984  0.2500  0.4350
Br  0.5888  0.2500  0.8588
Br  0.9955  0.5004  0.7506
Br  0.0045  0.4996  0.2494
Br  0.4112  0.7500  0.1412
Br  0.4016  0.7500  0.5650
Zn  0.2188  0.7500  0.3050
Zn  0.7812  0.2500  0.6950
Rb  0.2731  0.2500  0.0701
Rb  0.7269  0.7500  0.9299
K  0.2220  0.2500  0.5514
K  0.7780  0.7500  0.4486

***

> Number 3 is which compound?

AlAg6